Entry from Alexandria: crystalline Ba2SrHgIr at its relaxed geometry (PBE).

Cell lengths 6.0783, 6.0783, 5.8380 Å; angles 90.00, 90.00, 90.00 degrees
Last column: nearest neighbours and their distance in Å.
Fractional positions:
1 Ba 0.0000 0.5000 0.0000  2 Ir 3.04
2 Ba 0.5000 0.0000 0.0000  2 Ir 3.04
3 Sr 0.0000 0.0000 0.5000  2 Ir 2.92
4 Hg 0.5000 0.5000 0.5000  8 Ba 4.21, 4 Sr 4.30
5 Ir 0.0000 0.0000 0.0000  2 Sr 2.92, 4 Ba 3.04

SG ... P4/mmm (123)
Calculated total energy ... -0.230 Ry per atom
Relative energy among the computed polymorphs ... 0 meV per atom
Energy of formation from the pure elements ... -0.19 eV per atom
DOS at the Fermi energy ... 0.459 states/eV per atom